[1]
First-principles (PBE-GGA) data for a relaxed structure of Ag2PtW, as listed in Alexandria. Values from VASP.

```
&SYSTEM
  ibrav = 0, nat = 4, ntyp = 3
/
ATOMIC_SPECIES
Ag 107.87 Ag.upf
Pt 195.08 Pt.upf
W 183.84 W.upf
ATOMIC_POSITIONS crystal
Ag 0.0000 0.0000 0.0000
Ag 0.2475 0.2475 0.7840
Pt 0.4971 0.4971 0.4793
W 0.7527 0.7527 0.2993
CELL_PARAMETERS angstrom
4.6448 -1.3867 0.0000
4.6448 1.3867 0.0000
-0.6961 0.0000 5.1700
```

Values from the calculation:
calculated formation energy	0.27	eV per atom
size of the total moment	0.0	μB per cell
polymorph energy (0 for the lowest one)	0.157	eV/atom
calculated density	14.83	Mg/m³

---

[2]
First-principles (PBE-GGA) data for a relaxed structure of PmInGa, as listed in Alexandria. Values from VASP.

```
&SYSTEM
  ibrav = 0, nat = 3, ntyp = 3
/
ATOMIC_SPECIES
Pm 145.00 Pm.upf
In 114.82 In.upf
Ga 69.72 Ga.upf
ATOMIC_POSITIONS crystal
Pm 0.0000 0.0000 0.0000
In 0.6667 0.3333 0.4593
Ga 0.3333 0.6667 0.6064
CELL_PARAMETERS angstrom
4.6087 0.0000 0.0000
-2.3043 3.9912 0.0000
0.0000 0.0000 4.0630
```

Values from the calculation:
calculated formation energy	-0.52	eV per atom
size of the total moment	0.0	μB per cell
polymorph energy (0 for the lowest one)	0.028	eV/atom
calculated density	7.32	Mg/m³

---

[3]
First-principles (PBE-GGA) data for a relaxed structure of LiSmGeAu, as listed in Alexandria. Values from VASP.

```
&SYSTEM
  ibrav = 0, nat = 4, ntyp = 4
/
ATOMIC_SPECIES
Li 6.94 Li.upf
Sm 150.36 Sm.upf
Ge 72.64 Ge.upf
Au 196.97 Au.upf
ATOMIC_POSITIONS crystal
Li 0.0000 0.0000 0.0000
Sm 0.5000 0.5000 0.5000
Ge 0.2500 0.2500 0.2500
Au 0.7500 0.7500 0.7500
CELL_PARAMETERS angstrom
0.0000 3.4711 3.4711
3.4711 0.0000 3.4711
3.4711 3.4711 0.0000
```

Values from the calculation:
calculated formation energy	-0.62	eV per atom
size of the total moment	0.0	μB per cell
calculated density	8.48	Mg/m³

---

[4]
First-principles (PBE-GGA) data for a relaxed structure of Sr2LiRh, as listed in Alexandria. Values from VASP.

```
&SYSTEM
  ibrav = 0, nat = 4, ntyp = 3
/
ATOMIC_SPECIES
Sr 87.62 Sr.upf
Li 6.94 Li.upf
Rh 102.91 Rh.upf
ATOMIC_POSITIONS crystal
Sr 0.0000 0.0000 0.0000
Sr 0.6986 0.1986 0.5000
Li 0.3482 0.8482 0.5000
Rh 0.5022 0.5022 0.0000
CELL_PARAMETERS angstrom
-1.8303 2.6211 6.2783
1.8303 -2.6211 6.2783
1.8303 2.6211 -6.2783
```

Values from the calculation:
calculated formation energy	-0.05	eV per atom
size of the total moment	0.0	μB per cell
calculated density	3.93	Mg/m³